1.
The following is a DFT calculation (PBE-GGA) of a relaxed structure of CdAg5Au4.

Structure (POSCAR):
```
CdAg5Au4
1.0
8.609 0.000 0.000
0.000 9.587 0.000
0.000 0.000 5.020
Cd Ag Au
2 10 8
Direct
0.250 0.250 0.017
0.750 0.750 0.983
0.083 0.003 0.254
0.083 0.497 0.254
0.250 0.750 0.420
0.417 0.003 0.254
0.417 0.497 0.254
0.583 0.503 0.746
0.583 0.997 0.746
0.750 0.250 0.580
0.917 0.503 0.746
0.917 0.997 0.746
0.076 0.750 0.928
0.250 0.507 0.746
0.250 0.993 0.746
0.424 0.750 0.928
0.576 0.250 0.072
0.750 0.007 0.254
0.750 0.493 0.254
0.924 0.250 0.072
```

Results
ΔH_f (0 K) (kJ/mol of atoms): 4
E (eV per atom): -2.7902
Density of states at the Fermi level (states/eV/cell): 5.1
Polymorph energy (0 for the lowest one) (kJ per mole of atoms): 10.57

=====

2.
The following is a DFT calculation (PBE-GGA) of a relaxed structure of CdAg8Au2.

Structure (POSCAR):
```
CdAg8Au2
1.0
7.519 -2.083 0.000
7.519 2.083 0.000
-1.688 0.000 6.364
Cd Ag Au
1 8 2
Direct
0.000 0.000 0.000
0.091 0.091 0.456
0.183 0.183 0.910
0.363 0.363 0.815
0.453 0.453 0.274
0.547 0.547 0.726
0.637 0.637 0.185
0.817 0.817 0.090
0.909 0.909 0.544
0.273 0.273 0.363
0.727 0.727 0.637
```

Results
ΔH_f (0 K) (kJ/mol of atoms): -3
E (eV per atom): -2.7798
Density of states at the Fermi level (states/eV/cell): 3.1
Polymorph energy (0 for the lowest one) (kJ per mole of atoms): 0.00

=====

3.
The following is a DFT calculation (PBE-GGA) of a relaxed structure of CdAg7Au5.

Structure (POSCAR):
```
CdAg7Au5
1.0
5.506 -4.820 0.000
5.506 4.820 0.000
-2.630 0.000 4.795
Cd Ag Au
1 7 5
Direct
0.000 0.000 0.000
0.205 0.793 0.496
0.351 0.648 0.996
0.355 0.355 0.348
0.648 0.351 0.996
0.648 0.648 0.648
0.779 0.779 0.275
0.793 0.205 0.496
0.216 0.216 0.715
0.499 0.999 0.495
0.499 0.999 0.997
0.999 0.499 0.495
0.999 0.499 0.997
```

Results
ΔH_f (0 K) (kJ/mol of atoms): 3
E (eV per atom): -2.8392
Density of states at the Fermi level (states/eV/cell): 2.6

=====

4.
The following is a DFT calculation (PBE-GGA) of a relaxed structure of Cd2Ag3Au2.

Structure (POSCAR):
```
Cd2Ag3Au2
1.0
9.323 0.000 0.000
0.000 4.224 0.000
-1.000 0.000 6.640
Cd Ag Au
4 6 4
Direct
0.074 0.000 0.221
0.426 0.500 0.779
0.574 0.500 0.221
0.926 0.000 0.779
0.000 0.500 0.500
0.142 0.500 0.927
0.358 0.000 0.073
0.500 0.000 0.500
0.642 0.000 0.927
0.858 0.500 0.073
0.215 0.000 0.648
0.285 0.500 0.352
0.715 0.500 0.648
0.785 0.000 0.352
```

Results
ΔH_f (0 K) (kJ/mol of atoms): -10
E (eV per atom): -2.5204
Density of states at the Fermi level (states/eV/cell): 3.2
Polymorph energy (0 for the lowest one) (kJ per mole of atoms): 0.00

=====

5.
The following is a DFT calculation (PBE-GGA) of a relaxed structure of CdAg7Au12.

Structure (POSCAR):
```
CdAg7Au12
1.0
5.023 2.900 4.399
-5.023 2.900 4.399
0.000 -5.800 4.399
Cd Ag Au
1 7 12
Direct
0.000 0.000 0.000
0.056 0.380 0.146
0.146 0.056 0.380
0.380 0.146 0.056
0.500 0.500 0.500
0.620 0.854 0.944
0.854 0.944 0.620
0.944 0.620 0.854
0.138 0.253 0.724
0.138 0.625 0.507
0.253 0.724 0.138
0.276 0.862 0.747
0.375 0.493 0.862
0.493 0.862 0.375
0.507 0.138 0.625
0.625 0.507 0.138
0.724 0.138 0.253
0.747 0.276 0.862
0.862 0.375 0.493
0.862 0.747 0.276
```

Results
ΔH_f (0 K) (kJ/mol of atoms): 5
E (eV per atom): -2.9622
Density of states at the Fermi level (states/eV/cell): 6.5

=====

6.
The following is a DFT calculation (PBE-GGA) of a relaxed structure of CdAgAu3.

Structure (POSCAR):
```
CdAgAu3
1.0
5.101 0.000 0.000
0.000 5.101 0.000
0.000 0.000 5.101
Cd Ag Au
1 1 3
Direct
0.000 0.000 0.000
0.500 0.500 0.500
0.000 0.500 0.500
0.500 0.000 0.500
0.500 0.500 0.000
```

Results
ΔH_f (0 K) (kJ/mol of atoms): 62
E (eV per atom): -2.0816
Density of states at the Fermi level (states/eV/cell): 2.3
Polymorph energy (0 for the lowest one) (kJ per mole of atoms): 68.29

=====

7.
The following is a DFT calculation (PBE-GGA) of a relaxed structure of CdAg4Au.

Structure (POSCAR):
```
CdAg4Au
1.0
0.000 3.883 3.883
3.883 0.000 3.883
3.883 3.883 0.000
Cd Ag Au
1 4 1
Direct
0.000 0.000 0.000
0.125 0.625 0.625
0.625 0.125 0.625
0.625 0.625 0.125
0.625 0.625 0.625
0.250 0.250 0.250
```

Results
ΔH_f (0 K) (kJ/mol of atoms): 11
E (eV per atom): -2.4810
Density of states at the Fermi level (states/eV/cell): 3.1
Polymorph energy (0 for the lowest one) (kJ per mole of atoms): 9.77

=====

8.
The following is a DFT calculation (PBE-GGA) of a relaxed structure of Cd2Ag2Au.

Structure (POSCAR):
```
Cd2Ag2Au
1.0
3.801 0.000 0.000
0.000 3.801 0.000
0.000 0.000 14.733
Cd Ag Au
4 4 2
Direct
0.000 0.000 0.098
0.000 0.000 0.902
0.500 0.500 0.402
0.500 0.500 0.598
0.000 0.500 0.250
0.000 0.500 0.750
0.500 0.000 0.250
0.500 0.000 0.750
0.000 0.000 0.500
0.500 0.500 0.000
```

Results
ΔH_f (0 K) (kJ/mol of atoms): 5
E (eV per atom): -2.1110
Density of states at the Fermi level (states/eV/cell): 2.6
Polymorph energy (0 for the lowest one) (kJ per mole of atoms): 13.75

=====

9.
The following is a DFT calculation (PBE-GGA) of a relaxed structure of Cd3Ag8Au.

Structure (POSCAR):
```
Cd3Ag8Au
1.0
-3.520 3.520 6.042
3.520 -3.520 6.042
3.520 3.520 -6.042
Cd Ag Au
3 8 1
Direct
0.000 0.000 0.000
0.250 0.750 0.500
0.750 0.250 0.500
0.153 0.153 0.513
0.165 0.457 0.000
0.360 0.847 0.000
0.457 0.165 0.000
0.543 0.543 0.708
0.640 0.640 0.487
0.835 0.835 0.292
0.847 0.360 0.000
0.500 0.500 0.000
```

Results
ΔH_f (0 K) (kJ/mol of atoms): 27
E (eV per atom): -2.1270
Density of states at the Fermi level (states/eV/cell): 4.3

=====

10.
The following is a DFT calculation (PBE-GGA) of a relaxed structure of Cd8AgAu6.

Structure (POSCAR):
```
Cd8AgAu6
1.0
4.081 2.356 5.695
-4.081 2.356 5.695
0.000 -4.713 5.695
Cd Ag Au
8 1 6
Direct
0.058 0.381 0.710
0.166 0.166 0.166
0.290 0.942 0.619
0.381 0.710 0.058
0.619 0.290 0.942
0.710 0.058 0.381
0.834 0.834 0.834
0.942 0.619 0.290
0.500 0.500 0.500
0.112 0.781 0.448
0.219 0.552 0.888
0.448 0.112 0.781
0.552 0.888 0.219
0.781 0.448 0.112
0.888 0.219 0.552
```

Results
ΔH_f (0 K) (kJ/mol of atoms): -15
E (eV per atom): -2.1415
Density of states at the Fermi level (states/eV/cell): 4.9

=====

11.
The following is a DFT calculation (PBE-GGA) of a relaxed structure of CdAg2Au2.

Structure (POSCAR):
```
CdAg2Au2
1.0
2.231 -7.260 0.000
2.231 7.260 0.000
0.000 0.000 5.792
Cd Ag Au
2 4 4
Direct
0.103 0.897 0.500
0.897 0.103 0.000
0.301 0.699 0.746
0.494 0.506 0.749
0.506 0.494 0.249
0.699 0.301 0.246
0.105 0.895 0.005
0.313 0.687 0.249
0.687 0.313 0.749
0.895 0.105 0.505
```

Results
ΔH_f (0 K) (kJ/mol of atoms): -6
E (eV per atom): -2.6981
Density of states at the Fermi level (states/eV/cell): 2.8
Polymorph energy (0 for the lowest one) (kJ per mole of atoms): 0.00

=====

12.
The following is a DFT calculation (PBE-GGA) of a relaxed structure of CdAg2Au2.

Structure (POSCAR):
```
CdAg2Au2
1.0
7.630 0.000 0.000
0.000 7.630 0.000
0.000 0.000 3.366
Cd Ag Au
2 4 4
Direct
0.000 0.000 0.000
0.500 0.500 0.000
0.132 0.368 0.000
0.368 0.868 0.000
0.632 0.132 0.000
0.868 0.632 0.000
0.166 0.666 0.500
0.334 0.166 0.500
0.666 0.834 0.500
0.834 0.334 0.500
```

Results
ΔH_f (0 K) (kJ/mol of atoms): 2
E (eV per atom): -2.6140
Density of states at the Fermi level (states/eV/cell): 3.2
Polymorph energy (0 for the lowest one) (kJ per mole of atoms): 8.11

=====

13.
The following is a DFT calculation (PBE-GGA) of a relaxed structure of Cd2Ag4Au3.

Structure (POSCAR):
```
Cd2Ag4Au3
1.0
6.278 -2.108 0.000
6.278 2.108 0.000
-2.139 0.000 6.290
Cd Ag Au
2 4 3
Direct
0.162 0.162 0.000
0.838 0.838 0.000
0.057 0.057 0.341
0.279 0.279 0.662
0.721 0.721 0.338
0.943 0.943 0.659
0.388 0.388 0.331
0.500 0.500 0.000
0.612 0.612 0.669
```

Results
ΔH_f (0 K) (kJ/mol of atoms): -8
E (eV per atom): -2.6466
Density of states at the Fermi level (states/eV/cell): 2.8
Polymorph energy (0 for the lowest one) (kJ per mole of atoms): 0.00

=====

14.
The following is a DFT calculation (PBE-GGA) of a relaxed structure of Cd14AgAu.

Structure (POSCAR):
```
Cd14AgAu
1.0
6.318 0.000 0.000
0.000 6.318 0.000
0.000 0.000 8.682
Cd Ag Au
14 1 1
Direct
0.000 0.000 0.000
0.000 0.500 0.000
0.000 0.500 0.500
0.249 0.249 0.257
0.249 0.249 0.743
0.249 0.751 0.257
0.249 0.751 0.743
0.500 0.000 0.000
0.500 0.000 0.500
0.500 0.500 0.000
0.751 0.249 0.257
0.751 0.249 0.743
0.751 0.751 0.257
0.751 0.751 0.743
0.000 0.000 0.500
0.500 0.500 0.500
```

Results
ΔH_f (0 K) (kJ/mol of atoms): -1
E (eV per atom): -1.1979
Density of states at the Fermi level (states/eV/cell): 5.7

=====

15.
The following is a DFT calculation (PBE-GGA) of a relaxed structure of CdAg6Au8.

Structure (POSCAR):
```
CdAg6Au8
1.0
3.898 2.250 5.619
-3.898 2.250 5.619
0.000 -4.501 5.619
Cd Ag Au
1 6 8
Direct
0.000 0.000 0.000
0.096 0.655 0.364
0.345 0.636 0.904
0.364 0.096 0.655
0.636 0.904 0.345
0.655 0.364 0.096
0.904 0.345 0.636
0.136 0.444 0.810
0.190 0.864 0.556
0.249 0.249 0.249
0.444 0.810 0.136
0.556 0.190 0.864
0.751 0.751 0.751
0.810 0.136 0.444
0.864 0.556 0.190
```

Results
ΔH_f (0 K) (kJ/mol of atoms): 5
E (eV per atom): -2.8997
Density of states at the Fermi level (states/eV/cell): 4.5

=====

16.
The following is a DFT calculation (PBE-GGA) of a relaxed structure of Cd2Ag2Au.

Structure (POSCAR):
```
Cd2Ag2Au
1.0
3.918 0.000 0.000
0.000 3.918 0.000
0.000 0.000 13.871
Cd Ag Au
4 4 2
Direct
0.000 0.500 0.250
0.000 0.500 0.750
0.500 0.000 0.250
0.500 0.000 0.750
0.000 0.000 0.095
0.000 0.000 0.905
0.500 0.500 0.405
0.500 0.500 0.595
0.000 0.000 0.500
0.500 0.500 0.000
```

Results
ΔH_f (0 K) (kJ/mol of atoms): 16
E (eV per atom): -1.9942
Density of states at the Fermi level (states/eV/cell): 3.3
Polymorph energy (0 for the lowest one) (kJ per mole of atoms): 25.02

=====

17.
The following is a DFT calculation (PBE-GGA) of a relaxed structure of Cd3Ag2Au7.

Structure (POSCAR):
```
Cd3Ag2Au7
1.0
4.768 0.000 0.000
0.000 2.891 0.000
-0.555 0.000 16.942
Cd Ag Au
3 2 7
Direct
0.000 0.000 0.000
0.260 0.500 0.624
0.740 0.500 0.376
0.233 0.000 0.292
0.767 0.000 0.708
0.216 0.500 0.144
0.245 0.000 0.455
0.277 0.000 0.801
0.500 0.500 0.000
0.723 0.000 0.199
0.755 0.000 0.545
0.784 0.500 0.856
```

Results
ΔH_f (0 K) (kJ/mol of atoms): -4
E (eV per atom): -2.6531
Density of states at the Fermi level (states/eV/cell): 3.6

=====

18.
The following is a DFT calculation (PBE-GGA) of a relaxed structure of Cd2Ag3Au4.

Structure (POSCAR):
```
Cd2Ag3Au4
1.0
4.166 0.000 0.000
2.050 4.677 0.000
2.078 1.798 8.536
Cd Ag Au
2 3 4
Direct
0.169 0.387 0.276
0.831 0.613 0.724
0.165 0.724 0.947
0.500 0.500 0.500
0.835 0.276 0.053
0.166 0.058 0.610
0.498 0.170 0.833
0.502 0.830 0.167
0.834 0.942 0.390
```

Results
ΔH_f (0 K) (kJ/mol of atoms): -10
E (eV per atom): -2.7192
Density of states at the Fermi level (states/eV/cell): 2.4
Polymorph energy (0 for the lowest one) (kJ per mole of atoms): 0.00

=====

19.
The following is a DFT calculation (PBE-GGA) of a relaxed structure of Cd2Ag12Au.

Structure (POSCAR):
```
Cd2Ag12Au
1.0
5.518 0.000 0.000
0.000 5.518 0.000
0.000 0.000 20.218
Cd Ag Au
4 24 2
Direct
0.250 0.750 0.226
0.250 0.750 0.774
0.750 0.250 0.226
0.750 0.250 0.774
0.000 0.000 0.398
0.000 0.000 0.602
0.000 0.500 0.398
0.000 0.500 0.602
0.073 0.573 0.063
0.073 0.927 0.937
0.250 0.250 0.161
0.250 0.250 0.294
0.250 0.250 0.706
0.250 0.250 0.839
0.427 0.573 0.937
0.427 0.927 0.063
0.500 0.000 0.398
0.500 0.000 0.602
0.500 0.500 0.398
0.500 0.500 0.602
0.573 0.073 0.937
0.573 0.427 0.063
0.750 0.750 0.161
0.750 0.750 0.294
0.750 0.750 0.706
0.750 0.750 0.839
0.927 0.073 0.063
0.927 0.427 0.937
0.250 0.750 0.500
0.750 0.250 0.500
```

Results
ΔH_f (0 K) (kJ/mol of atoms): 15
E (eV per atom): -2.4616
Density of states at the Fermi level (states/eV/cell): 10.9

=====

20.
The following is a DFT calculation (PBE-GGA) of a relaxed structure of CdAgAu.

Structure (POSCAR):
```
CdAgAu
1.0
3.055 0.000 0.000
0.000 4.121 0.000
0.000 0.000 8.966
Cd Ag Au
2 2 2
Direct
0.000 0.000 0.000
0.500 0.500 0.500
0.000 0.000 0.668
0.500 0.500 0.168
0.000 0.000 0.334
0.500 0.500 0.834
```

Results
ΔH_f (0 K) (kJ/mol of atoms): -11
E (eV per atom): -2.4614
Density of states at the Fermi level (states/eV/cell): 1.7
Polymorph energy (0 for the lowest one) (kJ per mole of atoms): 0.00